VCoBOs2: relaxed, PBE.

a b c (Å): 4.492 3.502 4.492
angles (deg): 90.00 90.00 90.00
Site moments in Bohr magnetons follow the coordinates.
Element x y z (fractional)
V 0.500 0.500 0.500  0.15
B 0.000 0.500 0.000  -0.01
Os 0.000 0.000 0.500  0.11
Co 0.000 0.000 0.000  0.15
Os 0.500 0.000 0.000  0.04

***

YCo2BOs: relaxed, PBE.

a b c (Å): 4.049 4.049 4.150
angles (deg): 90.00 90.00 90.00
Site moments in Bohr magnetons follow the coordinates.
Element x y z (fractional)
Os 0.000 0.000 0.500  0.18
Co 0.500 0.000 0.000  0.84
Co 0.000 0.500 0.000  0.84
B 0.000 0.000 0.000  -0.04
Y 0.500 0.500 0.500  -0.09

***

YCoB2Os: relaxed, PBE.

a b c (Å): 3.772 3.772 5.452
angles (deg): 110.24 110.24 90.00
Element x y z (fractional)
B 0.341 0.341 0.682
Os 0.250 0.750 0.500
Co 0.750 0.250 0.500
Y 0.000 0.000 0.000
B 0.659 0.659 0.318

***

ZrCo2BOs: relaxed, PBE.

a b c (Å): 3.939 3.939 4.105
angles (deg): 90.00 90.00 90.00
Site moments in Bohr magnetons follow the coordinates.
Element x y z (fractional)
Co 0.000 0.500 0.000  0.53
Zr 0.500 0.500 0.500  -0.10
Co 0.500 0.000 0.000  0.53
Os 0.000 0.000 0.500  0.06
B 0.000 0.000 0.000  -0.03

***

ZrCoB2Os: relaxed, PBE.

a b c (Å): 4.207 4.426 4.207
angles (deg): 90.00 90.00 90.00
Site moments in Bohr magnetons follow the coordinates.
Element x y z (fractional)
B 0.000 0.000 0.500  -0.02
Os 0.500 0.500 0.500  1.19
Co 0.000 0.500 0.000  0.81
Zr 0.000 0.000 0.000  -0.05
B 0.500 0.000 0.000  0.00

***

ZrCoBOs2: relaxed, PBE.

a b c (Å): 4.157 4.157 3.917
angles (deg): 90.00 90.00 90.00
Element x y z (fractional)
Os 0.500 0.000 0.000
Co 0.000 0.000 0.500
Os 0.000 0.500 0.000
Zr 0.500 0.500 0.500
B 0.000 0.000 0.000

***

Co2BP: relaxed, PBE.

Properties
- E above lowest polymorph (eV/atom) = 0.000

a b c (Å): 3.750 3.750 3.750
angles (deg): 60.00 60.00 60.00
Site moments in Bohr magnetons follow the coordinates.
Element x y z (fractional)
Co 0.750 0.750 0.750  0.71
B 0.000 0.000 0.000  0.02
Co 0.250 0.250 0.250  0.71
P 0.500 0.500 0.500  0.03

***

Co2BP: relaxed, PBE.

Properties
- E above lowest polymorph (eV/atom) = 0.112

a b c (Å): 4.655 4.655 5.720
angles (deg): 65.99 65.99 90.00
Element x y z (fractional)
B 0.250 0.750 0.500
Co 0.875 0.829 0.750
P 0.000 0.000 0.000
P 0.750 0.250 0.500
Co 0.579 0.125 0.250
Co 0.171 0.625 0.250
Co 0.375 0.421 0.750
B 0.500 0.500 0.000

***

CoBP: relaxed, PBE.

a b c (Å): 5.147 5.602 5.592
angles (deg): 128.40 90.00 90.00
Element x y z (fractional)
P 0.603 0.702 0.859
B 0.083 0.867 0.186
P 0.397 0.298 0.141
Co 0.019 0.747 0.770
P 0.103 0.298 0.641
Co 0.481 0.747 0.270
P 0.897 0.702 0.359
B 0.417 0.867 0.686
Co 0.519 0.253 0.730
Co 0.981 0.253 0.230
B 0.917 0.133 0.814
B 0.583 0.133 0.314

***

Co3BP: relaxed, PBE.

Properties
- E above lowest polymorph (eV/atom) = 0.000

a b c (Å): 3.767 3.767 3.767
angles (deg): 90.00 90.00 90.00
Site moments in Bohr magnetons follow the coordinates.
Element x y z (fractional)
Co 0.500 0.000 0.000  0.98
Co 0.000 0.000 0.500  0.79
B 0.000 0.000 0.000  -0.07
Co 0.000 0.500 0.000  0.97
P 0.500 0.500 0.500  0.10

***

CoB2PPd: relaxed, PBE.

a b c (Å): 3.903 5.226 3.903
angles (deg): 90.00 90.00 90.00
Site moments in Bohr magnetons follow the coordinates.
Element x y z (fractional)
B 0.000 0.000 0.500  0.01
Co 0.500 0.500 0.500  1.99
P 0.000 0.500 0.000  0.01
B 0.500 0.000 0.000  0.00
Pd 0.000 0.000 0.000  -0.01

***

Co2BPPd: relaxed, PBE.

a b c (Å): 4.705 4.307 4.705
angles (deg): 90.00 90.00 90.00
Site moments in Bohr magnetons follow the coordinates.
Element x y z (fractional)
Co 0.000 0.000 0.500  2.37
Pd 0.000 0.000 0.000  0.20
P 0.000 0.500 0.000  0.05
Co 0.500 0.000 0.000  1.78
B 0.500 0.500 0.500  -0.07

***

Quick rundown of formation enthalpy at 0 K, same order as above: 1.3690 -0.1982 -0.4981 -0.3597 2.3064 -0.3307 0.0431 0.1554 0.0171 0.1437 1.3875 1.8283 eV/atom
Quick rundown of total magnetization, same order as above: 0.48 1.61 0.00 0.91 2.02 0.00 1.46 0.00 0.00 2.77 2.01 4.23 Bohr magnetons per cell